DFT (PBE) results for an optimized crystal structure of TbCe2Pa.

```
4
Lattice="3.3487 0.0000 0.0000 0.0000 3.3487 0.0000 0.0000 0.0000 9.9158" Properties=species:S:1:pos:R:3 pbc="T T T"
Pa 1.6744 1.6744 0.0000
Tb 1.6744 1.6744 4.9579
Ce 0.0000 0.0000 7.6089
Ce 0.0000 0.0000 2.3069
```

Output
E above lowest polymorph = 0.00 eV per formula unit
Calculated formation energy = 0.08 eV/atom

***

DFT (PBE) results for an optimized crystal structure of TbCe2Pa.

```
4
Lattice="-4.0780 0.1395 2.3599 1.5494 -3.5147 2.8853 1.8451 3.2719 2.9949" Properties=species:S:1:pos:R:3 pbc="T T T"
Pa -0.3418 -0.0517 4.1200
Tb -2.0390 0.0698 1.1799
Ce 0.9225 1.6359 1.4975
Ce 0.7747 -1.7574 1.4426
```

Output
E above lowest polymorph = 0.39 eV per formula unit
Calculated formation energy = 0.18 eV/atom

***

DFT (PBE) results for an optimized crystal structure of TbCePaTc.

```
4
Lattice="-4.1057 -2.5094 -1.4451 0.1619 -4.9945 -0.5208 -2.4238 -2.9464 3.2690" Properties=species:S:1:pos:R:3 pbc="T T T"
Pa -3.1838 -5.2252 0.6515
Tb 0.0000 0.0000 0.0000
Tc -4.7758 -7.8378 0.9773
Ce -1.5919 -2.6126 0.3258
```

Output
Calculated formation energy = 0.15 eV/atom

***

DFT (PBE) results for an optimized crystal structure of TbCeThPa.

```
4
Lattice="5.4784 0.0000 0.0000 2.7392 4.7444 0.0000 2.7392 1.5815 4.4731" Properties=species:S:1:pos:R:3 pbc="T T T"
Pa 2.7392 1.5815 1.1183
Tb 8.2175 4.7444 3.3548
Ce 0.0000 0.0000 0.0000
Th 5.4784 3.1629 2.2365
```

Output
Calculated formation energy = 0.32 eV/atom

***

DFT (PBE) results for an optimized crystal structure of TbCeTmPa.

```
4
Lattice="-1.0287 5.2499 -1.3281 -2.4857 3.3242 3.6270 2.8405 4.0609 2.4134" Properties=species:S:1:pos:R:3 pbc="T T T"
Tb 0.0000 0.0000 0.0000
Pa -0.5054 9.4763 3.5342
Tm -0.1685 3.1588 1.1781
Ce -0.3369 6.3175 2.3561
```

Output
Calculated formation energy = 0.36 eV/atom

***

DFT (PBE) results for an optimized crystal structure of TbCeYPa.

```
4
Lattice="-0.7904 1.5739 5.2595 -0.3649 -3.8135 4.0110 4.0974 -0.5338 3.7002" Properties=species:S:1:pos:R:3 pbc="T T T"
Y 2.2066 -2.0801 9.7280
Pa 0.0000 0.0000 0.0000
Tb 1.4710 -1.3867 6.4854
Ce 0.7355 -0.6934 3.2427
```

Output
Calculated formation energy = 0.38 eV/atom

***

DFT (PBE) results for an optimized crystal structure of Ce2Pa3Tc4.

```
9
Lattice="4.6017 0.0000 0.0000 -2.3009 4.2743 0.1406 0.0000 -0.2786 10.1307" Properties=species:S:1:pos:R:3 pbc="T T T"
Ce 0.0000 2.7120 2.2263
Ce 2.3009 1.2837 8.0450
Pa 0.0000 2.9689 6.0697
Pa 0.0000 0.0000 0.0000
Pa 2.3009 1.0269 4.2016
Tc 2.3009 1.8154 1.0518
Tc 0.0000 0.5462 6.4129
Tc 2.3009 3.4496 3.8584
Tc 0.0000 2.1803 9.2195
```

Output
Calculated formation energy = -0.07 eV/atom

***

DFT (PBE) results for an optimized crystal structure of CePaTc2.

```
16
Lattice="-1.0151 -6.2774 1.7911 3.5798 -1.8270 -4.3746 6.6892 0.3911 5.3106" Properties=species:S:1:pos:R:3 pbc="T T T"
Ce 1.9066 -1.6648 -0.5738
Ce 8.5760 -3.2779 1.5241
Ce 0.6780 -4.4354 1.2030
Ce 7.3473 -6.0486 3.3009
Pa 4.0108 -4.3700 3.8671
Pa 5.2076 -1.5831 2.1293
Pa 5.2432 -3.3433 -1.1401
Pa 4.0463 -6.1302 0.5978
Tc 2.8792 -4.3745 -1.4134
Tc 3.7895 -1.4414 -2.8012
Tc 2.2401 -5.9453 2.9536
Tc 5.4644 -6.2720 5.5282
Tc 7.0138 -1.7680 -0.2265
Tc 5.9257 -4.6104 1.3785
Tc 6.3748 -3.3389 4.1405
Tc 3.3283 -3.1029 1.3486
```

Output
E above lowest polymorph = 0.00 eV per formula unit
Calculated formation energy = -0.14 eV/atom

***

> Which formula does entry 2 have?

TbCe2Pa